1.
A relaxed structure of Th6Te5Au, computed with PBE.

Summary:
The energy relative to the elements, uncorrected comes out at -964 meV/atom. For the volume, the calculation gives 376.08 Å³ per cell. The density of states at the Fermi level comes out at 0.88 states/eV/atom. The total energy is -75.07 eV for the cell shown.

POSCAR file:
```
Th6Te5Au
1.0
7.4702 -0.5679 -1.4054
-4.9836 7.1185 -2.0790
0.0847 -0.5999 7.7196
Th Te Au
6 5 1
direct
0.4834 0.2219 0.0000
0.5166 0.7781 0.0000
0.1593 0.3924 0.3186
0.8407 0.0739 0.6814
0.1593 0.9261 0.3186
0.8407 0.6076 0.6814
0.6813 0.1813 0.3627
0.3418 0.3418 0.6836
0.3187 0.8187 0.6373
0.6582 0.6582 0.3164
0.0000 0.5000 0.0000
0.0000 0.0000 0.0000
```


2.
A relaxed structure of Th3Te6Au, computed with PBE.

Summary:
The energy relative to the elements, uncorrected comes out at -1007 meV/atom. For the volume, the calculation gives 675.67 Å³ per cell. The density of states at the Fermi level comes out at 0.36 states/eV/atom. The total energy is -108.92 eV for the cell shown.

POSCAR file:
```
Th3Te6Au
1.0
-2.1259 6.0304 3.6839
-8.8421 -3.7303 1.0037
4.2417 -3.3799 7.9806
Au Te Th
2 12 6
direct
0.0415 0.2482 0.7518
0.5415 0.7518 0.2482
0.6635 0.2294 0.7706
0.7225 0.5367 0.0804
0.6742 0.3013 0.3734
0.6622 0.9578 0.0422
0.1742 0.3734 0.3013
0.2225 0.4633 0.9196
0.1622 0.0422 0.9578
0.2225 0.0804 0.5367
0.1635 0.7706 0.2294
0.7225 0.9196 0.4633
0.6742 0.6266 0.6987
0.1742 0.6987 0.6266
0.3681 0.3931 0.6069
0.4784 0.2625 0.0707
0.8681 0.6069 0.3931
0.9784 0.0707 0.2625
0.9784 0.7375 0.9293
0.4784 0.9293 0.7375
```


3.
A relaxed structure of ThTe4Au2, computed with PBE.

Summary:
The energy relative to the elements, uncorrected comes out at -463 meV/atom. For the volume, the calculation gives 423.15 Å³ per cell. The density of states at the Fermi level comes out at 0.46 states/eV/atom. The total energy is -59.56 eV for the cell shown.

POSCAR file:
```
ThTe4Au2
1.0
-1.6285 3.3013 2.3570
-0.2390 -6.2244 4.4998
12.0491 2.7604 4.4583
Te Au Th
8 4 2
direct
0.2105 0.4210 0.6202
0.7895 0.5790 0.3798
0.5000 0.0000 0.5000
0.0555 0.1109 0.2500
0.5000 0.0000 0.0000
0.2105 0.4210 0.8798
0.7895 0.5790 0.1202
0.9445 0.8891 0.7500
0.1244 0.2488 0.4399
0.8756 0.7512 0.9399
0.1244 0.2488 0.0601
0.8756 0.7512 0.5601
0.3981 0.7962 0.2500
0.6019 0.2038 0.7500
```


4.
A relaxed structure of ThTe3Au2, computed with PBE.

Summary:
The energy relative to the elements, uncorrected comes out at -618 meV/atom. For the volume, the calculation gives 385.70 Å³ per cell. The density of states at the Fermi level comes out at 0.16 states/eV/atom. The total energy is -54.22 eV for the cell shown.

POSCAR file:
```
ThTe3Au2
1.0
4.5077 0.0000 0.0000
0.0000 7.9233 -0.2216
0.0000 -3.5870 10.8996
Te Au Th
6 4 2
direct
0.2500 0.4333 0.1714
0.7500 0.7131 0.4678
0.7500 0.9563 0.1491
0.7500 0.5667 0.8286
0.2500 0.2869 0.5322
0.2500 0.0437 0.8509
0.7500 0.1396 0.4005
0.2500 0.4202 0.9055
0.2500 0.8604 0.5995
0.7500 0.5798 0.0945
0.2500 0.8382 0.3014
0.7500 0.1618 0.6986
```


5.
A relaxed structure of Th3Tl3Te8Au, computed with PBE.

Summary:
The energy relative to the elements, uncorrected comes out at -751 meV/atom. For the volume, the calculation gives 576.29 Å³ per cell. The total energy is -69.03 eV for the cell shown.

POSCAR file:
```
Th3Tl3Te8Au
1.0
9.5232 0.0000 0.0000
-4.7616 7.4605 0.1315
0.0000 -4.7707 8.0273
Tl Te Th Au
3 8 3 1
direct
0.0000 0.0000 0.0000
0.5000 0.5000 0.0000
0.0000 0.5000 0.0000
0.2570 0.5140 0.2753
0.3012 0.0373 0.2662
0.7430 0.4860 0.7247
0.6988 0.9627 0.7338
0.7361 0.0373 0.2662
0.2639 0.9627 0.7338
0.7937 0.5874 0.3121
0.2063 0.4126 0.6879
0.5000 0.0000 0.5000
0.0000 0.5000 0.5000
0.5000 0.5000 0.5000
0.0000 0.0000 0.5000
```


6.
A relaxed structure of TiTe2Au, computed with PBE.

Summary:
The energy relative to the elements, uncorrected comes out at 422 meV/atom. For the volume, the calculation gives 101.27 Å³ per cell. The calculation puts the offset from the most stable computed form at 0.8359 eV/atom. The density of states at the Fermi level comes out at 0.91 states/eV/atom. The total energy is -15.77 eV for the cell shown.

POSCAR file:
```
TiTe2Au
1.0
1.7872 0.0000 12.2035
-0.8936 1.5477 12.2035
-0.8936 -1.5477 12.2035
Te Au Ti
2 1 1
direct
0.9232 0.9232 0.9232
0.0768 0.0768 0.0768
0.5000 0.5000 0.5000
0.0000 0.0000 0.0000
```